(1)
5
Lattice="5.467 0.000 0.000 0.000 4.029 0.000 0.000 0.000 5.467" Properties=species:S:1:pos:R:3 comment="CaAlIn2F | Alexandria via LeMat-Bulk | PBE | optimized geometry" e_tot_ev_per_atom=-3.272 vol_a3_per_atom=24.08 total_magnetization_mub_per_cell=0.00 dos_at_fermi_per_ev_cell=3.1 pbc="T T T"
Ca 2.733 2.014 2.733
F 0.000 0.000 0.000
Al 0.000 2.014 0.000
In 0.000 0.000 2.733
In 2.733 0.000 0.000

(2)
6
Lattice="-0.559 3.679 -0.110 -2.920 -2.249 2.610 4.289 0.739 2.901" Properties=species:S:1:pos:R:3 comment="Co2Pt | Alexandria via LeMat-Bulk | PBE | optimized geometry" vol_a3_per_atom=12.71 total_magnetization_mub_per_cell=7.87 e_form_ev_per_atom=-0.071 dos_at_fermi_per_ev_cell=7.2 pbc="T T T"
Co 0.369 0.112 1.851
Co 0.441 2.057 3.549
Co 1.865 2.209 1.395
Co -0.280 1.840 -0.055
Pt 2.502 0.476 3.203
Pt -1.692 1.692 2.198

(3)
6
Lattice="0.000 4.321 4.321 4.321 0.000 4.321 4.321 4.321 0.000" Properties=species:S:1:pos:R:3 comment="ZrAgBr4 | Alexandria via LeMat-Bulk | PBE | optimized geometry" e_tot_ev_per_atom=-2.335 vol_a3_per_atom=26.88 total_magnetization_mub_per_cell=1.24 dos_at_fermi_per_ev_cell=9.9 pbc="T T T"
Zr 6.481 6.481 6.481
Ag 0.000 0.000 0.000
Br 3.240 5.401 5.401
Br 5.401 5.401 3.240
Br 5.401 3.240 5.401
Br 3.240 3.240 3.240

(4)
4
Lattice="6.004 -0.018 0.004 2.547 5.437 -0.004 -3.565 -3.831 2.943" Properties=species:S:1:pos:R:3 comment="YRuPb2 | Alexandria via LeMat-Bulk | PBE | optimized geometry" vol_a3_per_atom=24.04 total_magnetization_mub_per_cell=0.00 e_form_ev_per_atom=-0.020 dos_at_fermi_per_ev_cell=3.6 pbc="T T T"
Pb 8.267 5.238 0.000
Pb 4.560 2.890 0.000
Ru 3.358 -0.570 1.474
Y 1.629 2.157 1.469

(5)
6
Lattice="5.877 0.000 0.000 2.938 5.090 0.000 2.938 1.697 4.799" Properties=species:S:1:pos:R:3 comment="NpPaCd4 | Alexandria via LeMat-Bulk | PBE | optimized geometry" vol_a3_per_atom=23.92 total_magnetization_mub_per_cell=6.37 e_form_ev_per_atom=0.230 dos_at_fermi_per_ev_cell=18.2 pbc="T T T"
Np 0.000 0.000 0.000
Pa 2.938 1.697 1.200
Cd 5.877 3.393 0.600
Cd 5.877 1.696 2.999
Cd 7.346 4.241 2.999
Cd 4.408 4.241 2.999

(6)
4
Lattice="-2.596 0.126 1.593 -0.194 -1.381 2.710 2.008 7.359 5.608" Properties=species:S:1:pos:R:3 comment="MgGe2Os | Alexandria via LeMat-Bulk | PBE | optimized geometry" vol_a3_per_atom=18.71 total_magnetization_mub_per_cell=0.00 e_form_ev_per_atom=0.151 dos_at_fermi_per_ev_cell=2.2 pbc="T T T"
Ge 1.134 5.046 4.366
Ge -1.916 1.059 5.544
Os -0.391 3.052 4.955
Mg 0.000 0.000 0.000

(7)
16
Lattice="-1.608 0.778 5.444 0.551 -8.215 1.337 6.641 4.886 1.263" Properties=species:S:1:pos:R:3 comment="Ho3Mg2Pt3 | Alexandria via LeMat-Bulk | PBE | optimized geometry" polymorph_energy_mev_per_atom=0.0 vol_a3_per_atom=21.58 total_magnetization_mub_per_cell=0.00 e_form_ev_per_atom=-1.036 dos_at_fermi_per_ev_cell=7.5 pbc="T T T"
Ho -1.057 -1.637 4.444
Ho 4.043 -1.845 5.980
Ho 0.589 1.904 4.424
Ho 0.000 -5.800 2.337
Ho 1.542 -0.705 2.064
Ho 4.444 3.760 2.283
Mg 4.611 0.519 1.288
Mg 1.777 -3.459 4.034
Mg 2.581 -3.848 1.313
Mg 3.807 0.908 4.010
Pt -0.868 -4.449 4.902
Pt 1.580 -0.706 5.090
Pt 2.863 3.577 4.856
Pt -0.188 -2.988 1.879
Pt 4.004 -1.845 2.954
Pt 2.171 2.087 1.850

(8)
20
Lattice="-6.920 -3.950 1.895 -0.159 -4.068 -9.063 6.721 -9.736 4.252" Properties=species:S:1:pos:R:3 comment="Rb6IBr2O | Alexandria via LeMat-Bulk | PBE | optimized geometry" e_tot_ev_per_atom=-2.776 vol_a3_per_atom=51.15 total_magnetization_mub_per_cell=0.00 dos_at_fermi_per_ev_cell=4.7 pbc="T T T"
Rb -1.624 -5.468 0.373
Rb 1.363 -9.794 2.263
Rb 1.365 -5.443 -6.363
Rb 5.100 -10.853 -4.000
Rb 1.362 -9.910 -6.258
Rb -1.873 -11.756 -5.373
Rb 1.602 -7.339 -0.750
Rb -1.918 -9.348 0.213
Rb -5.261 -5.514 -4.308
Rb -1.860 -3.572 -5.239
Rb -1.620 -1.001 0.269
Rb -5.306 -3.105 1.278
I 3.252 -7.633 -4.034
I -3.511 -3.278 -1.956
Br -2.371 -7.267 -6.105
Br 4.566 -7.199 1.669
Br 1.896 -13.447 -3.406
Br 2.112 -3.644 0.116
O -0.129 -7.591 1.407
O -0.130 -3.320 -7.397

(9)
8
Lattice="4.887 0.000 0.000 0.000 4.887 0.000 0.000 0.000 12.918" Properties=species:S:1:pos:R:3 comment="RbInAgBi | Alexandria via LeMat-Bulk | PBE | optimized geometry" vol_a3_per_atom=38.57 total_magnetization_mub_per_cell=0.00 e_form_ev_per_atom=0.037 dos_at_fermi_per_ev_cell=2.7 pbc="T T T"
Rb 3.665 3.665 3.735
Rb 1.222 1.222 9.183
In 3.665 1.222 0.000
In 1.222 3.665 0.000
Ag 1.222 3.665 6.459
Ag 3.665 1.222 6.459
Bi 3.665 3.665 11.060
Bi 1.222 1.222 1.858

(10)
5
Lattice="4.187 0.000 0.000 0.000 4.187 0.000 2.094 2.094 6.758" Properties=species:S:1:pos:R:3 comment="La2TiRe2 | Alexandria via LeMat-Bulk | PBE | optimized geometry" polymorph_energy_mev_per_atom=776.9 vol_a3_per_atom=23.70 total_magnetization_mub_per_cell=0.00 e_form_ev_per_atom=1.073 dos_at_fermi_per_ev_cell=6.3 pbc="T T T"
Re 2.094 2.094 1.124
Re 4.187 4.187 5.634
Ti 0.000 0.000 0.000
La 4.187 2.094 3.379
La 2.094 4.187 3.379

(11)
5
Lattice="6.688 0.000 0.000 0.000 5.296 0.000 0.000 0.000 6.688" Properties=species:S:1:pos:R:3 comment="Rb2AlAgTe | Alexandria via LeMat-Bulk | PBE | optimized geometry" e_tot_ev_per_atom=-2.168 vol_a3_per_atom=47.38 total_magnetization_mub_per_cell=0.00 dos_at_fermi_per_ev_cell=2.1 pbc="T T T"
Te 0.000 2.648 0.000
Rb 0.000 0.000 3.344
Rb 3.344 0.000 0.000
Ag 0.000 0.000 0.000
Al 3.344 2.648 3.344

(12)
10
Lattice="6.102 0.320 -0.842 0.931 7.587 -5.492 -1.775 -2.525 8.899" Properties=species:S:1:pos:R:3 comment="Pr2Ho7Tm | Alexandria via LeMat-Bulk | PBE | optimized geometry" polymorph_energy_mev_per_atom=0.0 vol_a3_per_atom=31.84 total_magnetization_mub_per_cell=0.00 e_form_ev_per_atom=0.023 dos_at_fermi_per_ev_cell=14.3 pbc="T T T"
Pr 4.749 6.316 -0.802
Pr 0.510 -0.935 3.367
Ho 0.737 3.304 -1.036
Ho 4.521 2.077 3.602
Ho 1.228 2.387 2.336
Ho 4.030 2.995 0.229
Ho 3.299 -0.293 1.247
Ho 1.959 5.675 1.318
Ho 3.516 3.953 -3.167
Tm 0.000 0.000 0.000